Entry 1:
The following is a DFT calculation (PBE-GGA) of a geometry-optimized SrAg2Au2 structure.

Lattice parameters (Å, degrees): 6.8757 6.8757 6.8757 143.21 143.21 53.01
Closest atoms and distances in Å follow each position.
Element x y z (fractional)
Ag 0.7500 0.2500 0.5000  4 Au 2.79, 4 Ag 3.07
Ag 0.2500 0.7500 0.5000  4 Au 2.79, 4 Ag 3.07
Au 0.3921 0.3921 0.0000  1 Au 2.66, 4 Ag 2.79
Au 0.6079 0.6079 0.0000  1 Au 2.66, 4 Ag 2.79
Sr 0.0000 0.0000 0.0000  8 Au 3.34

total DFT energy (no corrections) = -3.1549 eV per atom
calculated density = 9.99 g/cm3



Entry 2:
The following is a DFT calculation (PBE-GGA) of a geometry-optimized AcPdNO structure.

Lattice parameters (Å, degrees): 3.7906 5.7009 5.9380 90.00 90.00 90.00
Closest atoms and distances in Å follow each position.
Element x y z (fractional)
Ac 0.0000 0.5052 0.1828  4 O 2.59-2.63, 1 N 2.74
Ac 0.0000 0.0052 0.8172  4 O 2.59-2.63, 1 N 2.74
N 0.0000 0.9941 0.3554  2 Pd 1.90
N 0.0000 0.4941 0.6446  2 Pd 1.90
O 0.5000 0.2573 0.0064  2 Pd 2.58, 4 Ac 2.59-2.63, 2 O 2.85
O 0.5000 0.7573 0.9936  2 Pd 2.58, 4 Ac 2.59-2.63, 2 O 2.85
Pd 0.5000 0.9974 0.3615  2 N 1.90
Pd 0.5000 0.4974 0.6385  2 N 1.90

calculated density = 9.41 g/cm3
spin magnetization = 0.00 μB per formula unit
energy above the lowest structure with this stoichiometry = 0.253 eV/atom



Entry 3:
The following is a DFT calculation (PBE-GGA) of a geometry-optimized TmZrCS structure.

Lattice parameters (Å, degrees): 3.5141 3.5141 12.4927 90.00 90.00 120.00
Closest atoms and distances in Å follow each position.
Element x y z (fractional)
C 0.0000 0.0000 0.2606  3 Zr 2.35, 3 Tm 2.46
C 0.0000 0.0000 0.7394  3 Zr 2.35, 3 Tm 2.46
S 0.6667 0.3333 0.0000  6 Tm 2.75
S 0.3333 0.6667 0.5000  6 Zr 2.72
Tm 0.3333 0.6667 0.1491  3 C 2.46, 3 S 2.75
Tm 0.3333 0.6667 0.8509  3 C 2.46, 3 S 2.75
Zr 0.6667 0.3333 0.3548  3 C 2.35
Zr 0.6667 0.3333 0.6452  3 C 2.35

calculated density = 7.56 g/cm3
spin magnetization = 0.01 μB per formula unit
energy above the lowest structure with this stoichiometry = 0.007 eV/atom



Number 2 is which compound? AcPdNO



The highest calculated density belongs to which entry? SrAg2Au2